(1)
# YAlMo2 PBEsol relaxed
data_YAlMo2
_cell_length_a 2.791
_cell_length_b 2.791
_cell_length_c 8.966
_cell_angle_alpha 90.00
_cell_angle_beta 90.00
_cell_angle_gamma 90.00
_space_group_name_H-M_alt 'P 1'
_space_group_IT_number 1
_space_group_name_Hall 'P 1'
loop_
_atom_site_label
_atom_site_fract_x
_atom_site_fract_y
_atom_site_fract_z
_atom_site_occupancy
Y1 0.000 0.000 0.000 1
Al1 0.000 0.000 0.500 1
Mo1 0.500 0.500 0.283 1
Mo2 0.500 0.500 0.717 1
# ΔE_f: 0.2911 eV/atom
# Space-group type: P4/mmm, No. 123

(2)
# LiCa2NbGa PBEsol relaxed
data_LiCa2NbGa
_cell_length_a 5.188
_cell_length_b 5.188
_cell_length_c 4.498
_cell_angle_alpha 90.00
_cell_angle_beta 90.00
_cell_angle_gamma 90.00
_space_group_name_H-M_alt 'P 1'
_space_group_IT_number 1
_space_group_name_Hall 'P 1'
loop_
_atom_site_label
_atom_site_fract_x
_atom_site_fract_y
_atom_site_fract_z
_atom_site_occupancy
Li1 0.000 0.000 0.000 1
Ca1 0.000 0.500 0.000 1
Ca2 0.500 0.000 0.000 1
Nb1 0.500 0.500 0.500 1
Ga1 0.000 0.000 0.500 1
# ΔE_f: 0.7303 eV/atom
# Space-group type: P4/mmm, No. 123

(3)
# Sr2LaSb PBEsol relaxed
data_Sr2LaSb
_cell_length_a 5.738
_cell_length_b 5.738
_cell_length_c 5.738
_cell_angle_alpha 60.00
_cell_angle_beta 60.00
_cell_angle_gamma 60.00
_space_group_name_H-M_alt 'P 1'
_space_group_IT_number 1
_space_group_name_Hall 'P 1'
loop_
_atom_site_label
_atom_site_fract_x
_atom_site_fract_y
_atom_site_fract_z
_atom_site_occupancy
Sr1 0.000 0.000 0.000 1
Sr2 0.250 0.250 0.250 1
La1 0.750 0.750 0.750 1
Sb1 0.500 0.500 0.500 1
# Energy relative to the elements, uncorrected: -258 meV per atom
# Space-group type: F-43m, No. 216

(4)
# LiMn2B2O6 PBEsol relaxed
data_LiMn2B2O6
_cell_length_a 5.271
_cell_length_b 8.929
_cell_length_c 9.966
_cell_angle_alpha 90.00
_cell_angle_beta 91.26
_cell_angle_gamma 90.00
_space_group_name_H-M_alt 'P 1'
_space_group_IT_number 1
_space_group_name_Hall 'P 1'
loop_
_atom_site_label
_atom_site_fract_x
_atom_site_fract_y
_atom_site_fract_z
_atom_site_occupancy
Li1 0.000 0.005 0.000 1
Li2 0.000 0.995 0.500 1
Li3 0.774 0.489 0.747 1
Li4 0.774 0.511 0.247 1
Mn1 0.289 0.317 0.219 1
Mn2 0.289 0.683 0.719 1
Mn3 0.476 0.174 0.957 1
Mn4 0.476 0.826 0.457 1
Mn5 0.785 0.154 0.710 1
Mn6 0.785 0.846 0.210 1
Mn7 0.983 0.344 0.468 1
Mn8 0.983 0.656 0.968 1
B1 0.298 0.343 0.713 1
B2 0.298 0.657 0.213 1
B3 0.474 0.163 0.461 1
B4 0.474 0.837 0.961 1
B5 0.814 0.179 0.207 1
B6 0.814 0.821 0.707 1
B7 0.964 0.313 0.957 1
B8 0.964 0.687 0.457 1
O1 0.042 0.329 0.669 1
O2 0.042 0.671 0.169 1
O3 0.188 0.290 0.030 1
O4 0.188 0.710 0.530 1
O5 0.344 0.034 0.467 1
O6 0.344 0.966 0.967 1
O7 0.360 0.294 0.410 1
O8 0.360 0.706 0.910 1
O9 0.421 0.475 0.706 1
O10 0.421 0.525 0.206 1
O11 0.424 0.215 0.761 1
O12 0.424 0.785 0.261 1
O13 0.573 0.200 0.152 1
O14 0.573 0.800 0.652 1
O15 0.729 0.172 0.510 1
O16 0.729 0.828 0.010 1
O17 0.850 0.180 0.908 1
O18 0.850 0.820 0.408 1
O19 0.862 0.449 0.934 1
O20 0.862 0.551 0.434 1
O21 0.926 0.308 0.265 1
O22 0.926 0.692 0.765 1
O23 0.936 0.047 0.198 1
O24 0.936 0.953 0.698 1
# Energy relative to the elements, uncorrected: -1940 meV per atom
# Space-group type: Pc, No. 7
# Excess energy over the best structure of this formula in the dataset: 11 meV/atom

(5)
# SiIrPt4 PBEsol relaxed
data_SiIrPt4
_cell_length_a 5.147
_cell_length_b 5.147
_cell_length_c 5.147
_cell_angle_alpha 60.00
_cell_angle_beta 60.00
_cell_angle_gamma 60.00
_space_group_name_H-M_alt 'P 1'
_space_group_IT_number 1
_space_group_name_Hall 'P 1'
loop_
_atom_site_label
_atom_site_fract_x
_atom_site_fract_y
_atom_site_fract_z
_atom_site_occupancy
Si1 0.000 0.000 0.000 1
Ir1 0.250 0.250 0.250 1
Pt1 0.127 0.624 0.624 1
Pt2 0.624 0.127 0.624 1
Pt3 0.624 0.624 0.127 1
Pt4 0.624 0.624 0.624 1
# Energy relative to the elements, uncorrected: 557 meV per atom
# Space-group type: F-43m, No. 216

(6)
# TcSF2 PBEsol relaxed
data_TcSF2
_cell_length_a 9.893
_cell_length_b 9.893
_cell_length_c 9.893
_cell_angle_alpha 15.23
_cell_angle_beta 15.23
_cell_angle_gamma 15.23
_space_group_name_H-M_alt 'P 1'
_space_group_IT_number 1
_space_group_name_Hall 'P 1'
loop_
_atom_site_label
_atom_site_fract_x
_atom_site_fract_y
_atom_site_fract_z
_atom_site_occupancy
Tc1 0.000 0.000 0.000 1
S1 0.500 0.500 0.500 1
F1 0.063 0.063 0.063 1
F2 0.937 0.937 0.937 1
# Energy relative to the elements, uncorrected: -728 meV per atom
# Space-group type: R-3m, No. 166
# Excess energy over the best structure of this formula in the dataset: 0 meV/atom

(7)
# Zr2SiPb PBEsol relaxed
data_Zr2SiPb
_cell_length_a 3.200
_cell_length_b 3.200
_cell_length_c 8.121
_cell_angle_alpha 90.00
_cell_angle_beta 90.00
_cell_angle_gamma 101.71
_space_group_name_H-M_alt 'P 1'
_space_group_IT_number 1
_space_group_name_Hall 'P 1'
loop_
_atom_site_label
_atom_site_fract_x
_atom_site_fract_y
_atom_site_fract_z
_atom_site_occupancy
Zr1 0.000 0.000 0.217 1
Zr2 0.000 0.000 0.783 1
Si1 0.500 0.500 0.000 1
Pb1 0.500 0.500 0.500 1
# Energy relative to the elements, uncorrected: -439 meV per atom
# Space-group type: Cmmm, No. 65
# Excess energy over the best structure of this formula in the dataset: 0 meV/atom

(8)
# La2CoAg PBEsol relaxed
data_La2CoAg
_cell_length_a 3.565
_cell_length_b 3.506
_cell_length_c 7.440
_cell_angle_alpha 90.00
_cell_angle_beta 96.64
_cell_angle_gamma 90.00
_space_group_name_H-M_alt 'P 1'
_space_group_IT_number 1
_space_group_name_Hall 'P 1'
loop_
_atom_site_label
_atom_site_fract_x
_atom_site_fract_y
_atom_site_fract_z
_atom_site_occupancy
La1 0.066 0.000 0.283 1
La2 0.934 0.000 0.717 1
Co1 0.500 0.500 0.500 1
Ag1 0.500 0.500 0.000 1
# ΔE_f: -0.1049 eV/atom
# Space-group type: P2/m, No. 10